one.
HoHfAsO PBE-GGA relaxed; symmetry = No. 26
1.0
3.928 0.000 0.000
0.000 7.442 0.000
0.000 0.000 5.758
Ho As Hf O
2 2 2 2
Cartesian
0.000 1.667 2.601
0.000 5.775 5.480
0.000 1.170 5.460
0.000 6.272 2.581
1.964 2.937 5.727
1.964 4.505 2.849
1.964 4.878 4.947
1.964 2.565 2.068

=====

two.
HoHfAsO PBE-GGA relaxed; symmetry = No. 129
1.0
4.130 0.000 0.000
0.000 4.130 0.000
0.000 0.000 8.683
O Hf Ho As
2 2 2 2
Cartesian
1.033 3.098 0.000
3.098 1.033 0.000
3.098 1.033 4.342
1.033 3.098 4.342
1.033 1.033 0.986
3.098 3.098 7.697
3.098 3.098 2.614
1.033 1.033 6.069

=====

three.
HoHfAsO PBE-GGA relaxed; symmetry = No. 51
1.0
4.054 0.000 0.000
0.000 7.513 0.000
0.000 0.000 5.109
O Hf As Ho
2 2 2 2
Cartesian
2.027 1.266 4.795
2.027 6.247 2.241
0.000 5.675 2.240
0.000 1.838 4.794
0.000 2.942 2.240
0.000 4.571 4.795
2.027 1.045 2.240
2.027 6.468 4.795

=====

four.
HoHfAsO PBE-GGA relaxed; symmetry = No. 129
1.0
4.047 0.000 0.000
0.000 4.047 0.000
0.000 0.000 8.404
Ho O As Hf
2 2 2 2
Cartesian
0.000 0.000 4.202
2.024 2.024 4.202
2.024 2.024 0.000
0.000 0.000 0.000
2.024 0.000 6.215
0.000 2.024 2.189
2.024 0.000 0.968
0.000 2.024 7.436

=====

Which of them is least stable? Easy: four.

=====

one.
HfInAsO PBE-GGA relaxed; symmetry = No. 129
1.0
-1.028 -4.059 -1.228
4.239 -0.949 -0.409
0.197 -2.239 7.235
In As O Hf
2 2 2 2
Cartesian
-0.492 -2.281 0.199
2.294 -2.462 6.217
-0.376 -3.592 4.437
2.179 -1.150 1.979
1.606 -2.504 -0.819
0.000 0.000 0.000
1.704 -3.623 2.799
0.099 -1.119 3.617

=====

two.
HfInAsO PBE-GGA relaxed; symmetry = No. 26
1.0
3.833 0.000 0.000
0.000 8.356 0.000
0.000 0.000 5.458
In Hf O As
2 2 2 2
Cartesian
1.916 3.431 5.282
1.916 4.925 2.553
0.000 7.223 5.077
0.000 1.133 2.348
1.916 1.668 2.338
1.916 6.688 5.067
0.000 6.842 2.334
0.000 1.514 5.063

=====

three.
HfInAsO PBE-GGA relaxed; symmetry = No. 129
1.0
3.759 0.000 0.000
0.000 3.759 0.000
0.000 0.000 10.398
In As O Hf
2 2 2 2
Cartesian
0.000 0.000 5.199
1.879 1.879 5.199
1.879 0.000 7.829
0.000 1.879 2.569
0.000 0.000 0.000
1.879 1.879 0.000
1.879 0.000 1.146
0.000 1.879 9.252

=====

Which of them is least stable? Easy: one.

=====

one.
HfInAsO PBE-GGA relaxed; symmetry = No. 26
1.0
-0.296 -1.134 3.803
5.953 -6.136 -1.366
4.373 3.907 1.505
As Hf O In
2 2 2 2
Cartesian
6.973 -3.260 -0.430
5.248 2.725 1.221
2.106 -2.700 1.441
5.935 -2.439 1.817
4.014 -2.437 1.668
6.345 -0.632 2.387
9.261 -1.324 0.326
3.051 0.870 0.497

=====

two.
HfInAsO PBE-GGA relaxed; symmetry = No. 129
1.0
-3.445 -1.633 0.587
1.735 -3.266 1.098
0.084 3.290 9.653
As In O Hf
2 2 2 2
Cartesian
-1.262 -2.868 3.629
-0.364 1.259 7.708
-2.108 -0.396 5.541
0.482 -1.213 5.797
0.440 -2.858 0.970
-2.150 -2.041 0.714
-0.418 -0.865 1.476
-1.208 -0.744 9.862

=====

Which of them is least stable? Easy: two.

=====

one.
HfAsIrO PBE-GGA relaxed; symmetry = No. 129
1.0
-1.225 3.280 2.466
1.331 -2.116 3.476
5.868 2.663 -0.626
Hf Ir O As
2 2 2 2
Cartesian
2.348 3.262 2.405
3.626 0.564 2.911
0.774 0.630 1.406
5.200 3.196 3.910
-0.586 1.931 2.718
0.692 -0.767 3.224
4.388 2.270 1.020
1.586 1.556 4.296

=====

two.
HfAsIrO PBE-GGA relaxed; symmetry = No. 26
1.0
4.099 0.000 0.000
0.000 4.903 0.000
0.000 0.000 6.615
As Hf O Ir
2 2 2 2
Cartesian
0.000 1.072 5.465
0.000 3.831 2.158
2.049 1.789 0.554
2.049 3.114 3.862
2.049 3.430 5.901
2.049 1.473 2.594
0.000 3.592 6.297
0.000 1.311 2.989

=====

three.
HfAsIrO PBE-GGA relaxed; symmetry = No. 26
1.0
-2.171 -2.406 0.418
4.600 -4.806 -3.772
2.486 -1.406 4.824
O Ir Hf As
2 2 2 2
Cartesian
2.964 -4.381 2.951
2.615 -4.613 -0.194
0.476 -2.100 3.161
3.776 -6.143 -2.977
4.350 -4.092 -0.962
3.381 -2.484 3.264
1.800 -1.434 1.092
5.904 -5.127 1.157

=====

Which of them is least stable? Easy: one.

=====

one.
KHfAsO PBE-GGA relaxed; symmetry = No. 26
1.0
4.082 0.000 0.000
0.000 8.156 0.000
0.000 0.000 6.415
K As Hf O
2 2 2 2
Cartesian
0.000 2.631 6.060
0.000 5.525 2.852
0.000 2.282 2.783
0.000 5.874 5.991
2.041 0.850 3.415
2.041 7.306 0.207
2.041 7.443 2.202
2.041 0.713 5.410

=====

two.
KHfAsO PBE-GGA relaxed; symmetry = No. 26
1.0
3.588 0.000 0.000
0.000 6.910 0.000
0.000 0.000 7.873
K O Hf As
2 2 2 2
Cartesian
1.794 0.855 4.602
1.794 6.055 0.665
1.794 5.390 3.260
1.794 1.520 7.197
0.000 4.531 3.664
0.000 2.379 7.601
0.000 4.517 6.219
0.000 2.393 2.283

=====

three.
KHfAsO PBE-GGA relaxed; symmetry = No. 129
1.0
-3.657 0.967 0.010
-0.965 -3.651 0.220
0.177 0.559 10.046
As O K Hf
2 2 2 2
Cartesian
-3.422 -1.872 2.716
-1.024 -0.254 7.560
-2.984 -0.187 0.063
-1.638 -2.497 0.168
-1.550 -2.217 5.191
-2.896 0.092 5.086
-3.310 -1.516 9.099
-1.136 -0.609 1.178

=====

Which of them is least stable? Easy: three.

=====

one.
KHfAsO PBE-GGA relaxed; symmetry = No. 129
1.0
-3.994 2.253 -2.746
-2.167 -4.819 -0.803
-2.778 0.507 4.456
As O Hf K
2 2 2 2
Cartesian
-5.985 -1.676 -0.473
-2.954 -0.384 1.380
-2.624 -3.051 -1.289
-3.537 0.485 -2.261
-4.926 0.739 -0.032
-4.013 -2.798 0.939
-1.561 -0.638 -0.855
-7.379 -1.421 1.761

=====

two.
KHfAsO PBE-GGA relaxed; symmetry = No. 129
1.0
4.636 0.000 0.000
0.000 4.636 0.000
0.000 0.000 9.324
K Hf As O
2 2 2 2
Cartesian
0.000 2.318 8.242
2.318 0.000 1.083
2.318 2.318 4.662
0.000 0.000 4.662
2.318 0.000 5.930
0.000 2.318 3.394
0.000 0.000 0.000
2.318 2.318 0.000

=====

Which of them is least stable? Easy: two.

=====

one.
LiHfAs PBE-GGA relaxed; symmetry = No. 216
1.0
0.000 3.119 3.119
3.119 0.000 3.119
3.119 3.119 0.000
Hf As Li
1 1 1
Cartesian
0.000 0.000 0.000
1.559 1.559 1.559
4.678 4.678 4.678

=====

two.
LiHfAs PBE-GGA relaxed; symmetry = No. 216
1.0
0.670 1.254 4.078
0.866 4.141 0.871
-2.936 2.442 2.018
Hf As Li
1 1 1
Cartesian
-0.350 1.959 1.742
0.000 0.000 0.000
-1.050 5.878 5.226

=====

Which of them is least stable? Easy: one.

=====

one.
LiHfAsO PBE-GGA relaxed; symmetry = No. 129
1.0
3.605 0.000 0.000
0.000 3.605 0.000
0.000 0.000 8.766
Li Hf As O
2 2 2 2
Cartesian
0.901 2.704 4.383
2.704 0.901 4.383
0.901 0.901 1.210
2.704 2.704 7.556
2.704 2.704 2.611
0.901 0.901 6.155
0.901 2.704 0.000
2.704 0.901 0.000

=====

two.
LiHfAsO PBE-GGA relaxed; symmetry = No. 129
1.0
-3.822 -3.324 -1.702
3.304 -1.874 -3.758
1.417 -3.046 2.765
Hf Li O As
2 2 2 2
Cartesian
-1.332 -4.484 -0.833
2.231 -3.760 -1.861
1.017 -6.918 -1.353
-0.117 -1.326 -1.341
1.522 -2.237 -3.244
-2.040 -2.962 -2.216
0.308 -5.394 -2.737
0.592 -2.850 0.042

=====

three.
LiHfAsO PBE-GGA relaxed; symmetry = No. 26
1.0
-0.383 -3.513 -0.629
4.316 -1.251 4.360
-4.414 -0.286 4.288
Hf As O Li
2 2 2 2
Cartesian
-0.735 -2.570 4.560
1.401 -2.406 2.345
-2.658 -0.584 4.884
1.542 -1.019 4.753
-0.626 -2.217 2.526
-0.958 -2.904 6.565
-0.241 -1.329 7.573
-1.125 -0.290 2.307

=====

Which of them is least stable? Easy: two.

=====

one.
LiHfAsOs PBE-GGA relaxed; symmetry = No. 216
1.0
-1.789 -2.605 3.183
-4.393 -0.903 -0.047
-1.431 -4.127 -1.021
As Os Li Hf
1 1 1 1
Cartesian
-3.806 -3.817 1.057
0.000 0.000 0.000
-5.710 -5.726 1.586
-1.903 -1.909 0.529

=====

two.
LiHfAsOs PBE-GGA relaxed; symmetry = No. 216
1.0
0.000 3.121 3.121
3.121 0.000 3.121
3.121 3.121 0.000
Os As Li Hf
1 1 1 1
Cartesian
1.560 1.560 1.560
0.000 0.000 0.000
4.681 4.681 4.681
3.121 3.121 3.121

=====

three.
LiHfAsOs PBE-GGA relaxed; symmetry = No. 216
1.0
0.000 3.108 3.108
3.108 0.000 3.108
3.108 3.108 0.000
Hf As Os Li
1 1 1 1
Cartesian
3.108 3.108 3.108
1.554 1.554 1.554
0.000 0.000 0.000
4.661 4.661 4.661

=====

Which of them is least stable? Easy: three.